DFT (PBE) results for an optimized crystal structure of PrSc3Bi4.

a = 7.5675 Å, b = 7.5675 Å, c = 4.3737 Å
α = 90.00°, β = 90.00°, γ = 109.51°
Last column: nearest neighbours and their distance in Å.
Positions (direct):
Pr1 0.0000 0.0000 0.0000  6 Bi 3.20
Sc1 0.0000 0.5000 0.5000  6 Bi 3.09
Sc2 0.5000 0.0000 0.5000  6 Bi 3.09
Sc3 0.5000 0.5000 0.0000  6 Bi 2.98
Bi1 0.2587 0.7413 0.0000  5 Sc 2.98-3.09, 1 Pr 3.20
Bi2 0.2674 0.2674 0.5000  4 Sc 2.98-3.09, 2 Pr 3.20
Bi3 0.7326 0.7326 0.5000  4 Sc 2.98-3.09, 2 Pr 3.20
Bi4 0.7413 0.2587 0.0000  5 Sc 2.98-3.09, 1 Pr 3.20

VASP energy: -0.413 Ry/atom
M_tot: 0.00 μB per formula unit
energy of formation: -0.708 eV per atom
V: 236.1 Å³/f.u.